This record from OQMD describes a relaxed Cu3Ag7 crystal. The functional is GGA-PBE.

Summary:
**Calculated formation energy**: 0.070 eV/atom
**Energy**: -30.22 eV for the cell shown
**Polymorph energy (0 for the lowest one)**: 0.041 eV/atom

a = 2.8745 Å, b = 3.9069 Å, c = 14.4003 Å
α = 90.00°, β = 90.00°, γ = 90.00°
Closest atoms and distances in Å follow each position.
Space group Pmm2 (No. 25)
One atom of each set of equivalent atoms:
Cu (0.0000, 0.0000, 0.0000) [1 per cell]  3 Cu 2.65-2.87, 9 Ag 2.78-2.92
Cu (0.0000, 0.0000, 0.1839) [1 per cell]  5 Ag 2.63-2.74, 7 Cu 2.65-2.87
Cu (0.5000, 0.5000, 0.2752) [1 per cell]  6 Ag 2.60-2.85, 6 Cu 2.76-2.87
Ag (0.0000, 0.0000, 0.3664) [1 per cell]  5 Cu 2.63-2.76, 6 Ag 2.87
Ag (0.0000, 0.0000, 0.5811) [1 per cell]  12 Ag 2.87-3.11
Ag (0.0000, 0.0000, 0.7971) [1 per cell]  11 Ag 2.87-3.11, 1 Cu 2.92
Ag (0.5000, 0.5000, 0.0948) [1 per cell]  9 Cu 2.60-2.78, 3 Ag 2.76-2.87
Ag (0.5000, 0.5000, 0.4732) [1 per cell]  1 Cu 2.85, 11 Ag 2.87-3.11
Ag (0.5000, 0.5000, 0.6891) [1 per cell]  12 Ag 2.87-3.11
Ag (0.5000, 0.5000, 0.9031) [1 per cell]  8 Ag 2.76-3.08, 4 Cu 2.80